Record 1
## FeTc2Ru (PBE)

Data for crystalline FeTc2Ru at its relaxed geometry.

Properties
calculated formation energy	5	meV per atom
energy above the lowest structure with this stoichiometry	0	meV/atom

abc: 2.7016 4.2681 4.6694
angles: 90.00 90.00 90.00
Last column: nearest neighbours and their distance in Å.
Space group Pmm2 (No. 25)
One atom of each set of equivalent atoms:
Fe  0.0000  0.0000  0.0000 [1 per cell]  8 Tc 2.62-2.73, 2 Ru 2.64, 2 Fe 2.70
Tc  0.5000  0.0000  0.4915 [1 per cell]  4 Ru 2.65, 4 Tc 2.66-2.70, 4 Fe 2.66-2.73
Tc  0.5000  0.5000  0.1519 [1 per cell]  4 Fe 2.62, 4 Ru 2.64-2.75, 4 Tc 2.66-2.70
Ru  0.0000  0.5000  0.6661 [1 per cell]  8 Tc 2.64-2.75, 2 Fe 2.64, 2 Ru 2.70

***

Record 2
## CsCr3In (PBE)

Data for crystalline CsCr3In at its relaxed geometry.

Properties
calculated formation energy	1240	meV per atom
energy above the lowest structure with this stoichiometry	0	meV/atom

abc: 5.4051 5.4051 5.4051
angles: 90.00 90.00 90.00
Last column: nearest neighbours and their distance in Å.
Space group Pm-3m (No. 221)
One atom of each set of equivalent atoms:
Cs  0.0000  0.0000  0.0000 [1 per cell]  12 Cr 3.82
Cr  0.0000  0.5000  0.5000 [3 per cell]  2 In 2.70
In  0.5000  0.5000  0.5000 [1 per cell]  6 Cr 2.70

***

Record 3
## PtRhAu2 (PBE)

Data for crystalline PtRhAu2 at its relaxed geometry.

Properties
calculated formation energy	163	meV per atom
energy above the lowest structure with this stoichiometry	97	meV/atom

abc: 4.0282 4.0282 8.1062
angles: 90.00 90.00 90.00
Last column: nearest neighbours and their distance in Å.
Space group I4/mmm (No. 139)
One atom of each set of equivalent atoms:
Pt  0.0000  0.0000  0.0000 [2 per cell]  4 Rh 2.85, 8 Au 2.86
Rh  0.0000  0.0000  0.5000 [2 per cell]  4 Pt 2.85, 8 Au 2.86
Au  0.0000  0.5000  0.2500 [4 per cell]  4 Au 2.85, 4 Rh 2.86, 4 Pt 2.86

***

Record 4
## LaDy5Y3 (PBE)

Data for crystalline LaDy5Y3 at its relaxed geometry.

Properties
calculated formation energy	412	meV per atom
energy above the lowest structure with this stoichiometry	80	meV/atom

abc: 16.9502 8.0077 12.2979
angles: 90.00 130.68 90.00
Last column: nearest neighbours and their distance in Å.
Space group C2/m (No. 12)
One atom of each set of equivalent atoms:
La  0.2371  0.0000  0.1329 [4 per cell]  2 Y 3.20-3.42, 1 Dy 3.31
Dy  0.0000  0.3206  0.0000 [4 per cell]  1 Y 2.57, 1 Dy 2.87
Dy  0.0645  0.2056  0.7800 [8 per cell]  5 Dy 3.29-3.66, 2 Y 3.45-3.61, 2 La 3.65-3.68
Dy  0.1233  0.0000  0.5679 [4 per cell]  6 Dy 3.34-3.73, 2 Y 3.36-3.59
Dy  0.2000  0.5000  0.0714 [4 per cell]  7 Dy 3.23-3.60, 1 La 3.31
Y  0.0000  0.0000  0.0000 [2 per cell]  2 Dy 2.57
Y  0.0000  0.5000  0.5000 [2 per cell]  4 Dy 3.70, 2 La 3.74, 2 Y 3.91
Y  0.1194  0.5000  0.3145 [4 per cell]  1 Y 3.30, 5 Dy 3.30-3.59
Y  0.1708  0.0000  0.3423 [4 per cell]  2 Y 3.20-3.30, 1 Dy 3.36, 1 La 3.42

***

Record 5
## K2RbSe2O6 (PBE)

Data for crystalline K2RbSe2O6 at its relaxed geometry.

Properties
raw formation energy	-1.26	eV per atom

abc: 6.1361 6.1361 21.7573
angles: 90.00 90.00 120.00
Last column: nearest neighbours and their distance in Å.
Space group R-3m (No. 166, hexagonal axes)
One atom of each set of equivalent atoms:
K  0.0000  0.0000  0.1918 [6 per cell]  3 O 2.80
Rb  0.0000  0.0000  0.0000 [3 per cell]  6 O 2.91
Se  0.0000  0.0000  0.4045 [6 per cell]  3 O 1.70
O  0.0340  0.5170  0.2341 [18 per cell]  1 Se 1.70

***

Record 6
## Ac6TbNd (PBE)

Data for crystalline Ac6TbNd at its relaxed geometry.

Properties
calculated formation energy	28	meV per atom
energy above the lowest structure with this stoichiometry	0	meV/atom

abc: 5.5114 5.5114 11.0307
angles: 90.00 90.00 90.00
Last column: nearest neighbours and their distance in Å.
Space group P4/mmm (No. 123)
One atom of each set of equivalent atoms:
Ac  0.0000  0.0000  0.0000 [1 per cell]  8 Ac 3.89, 4 Tb 3.90
Ac  0.0000  0.0000  0.5000 [1 per cell]  4 Nd 3.90, 8 Ac 3.91
Ac  0.0000  0.5000  0.2485 [4 per cell]  2 Tb 3.89, 8 Ac 3.89-3.91, 2 Nd 3.91
Tb  0.5000  0.5000  0.0000 [1 per cell]  12 Ac 3.89-3.90
Nd  0.5000  0.5000  0.5000 [1 per cell]  12 Ac 3.90-3.91

***

no.,final energy (eV/atom)
1,-9.61
2,-5.25
3,-4.82
4,-4.85
5,-4.89
6,-4.23